Entry 1:
A crystal of CaCoW2 relaxed with PBEsol. Source: Alexandria, functional SCAN.

a b c (Å): 2.7647 4.7425 4.7425
angles (deg): 90.00 90.00 90.00
Each line ends with the local moment (μB).
Sites, in units of the cell vectors:
Co: 0.5000 0.0000 0.0000  1.65
W: 0.0000 0.0000 0.5000  0.03
W: 0.0000 0.5000 0.0000  0.03
Ca: 0.5000 0.5000 0.5000  0.00

Summary:
Formation energy   131.1 kJ/mol of atoms



Entry 2:
A crystal of RbTiTeI2 relaxed with PBEsol. Source: Alexandria, functional SCAN.

a b c (Å): 5.1327 6.6309 6.6309
angles (deg): 90.00 90.00 90.00
Each line ends with the local moment (μB).
Sites, in units of the cell vectors:
Ti: 0.5000 0.0000 0.0000  1.89
I: 0.0000 0.0000 0.5000  0.00
I: 0.0000 0.5000 0.0000  0.00
Te: 0.0000 0.0000 0.0000  -0.15
Rb: 0.5000 0.5000 0.5000  0.00

Summary:
Formation energy (no corrections)   -0.25 eV/atom



Entry 3:
A crystal of Li2OsBr relaxed with PBEsol. Source: Alexandria, functional SCAN.

a b c (Å): 2.8578 4.5979 4.7392
angles (deg): 90.00 90.15 90.00
Sites, in units of the cell vectors:
Li: 0.8729 0.5000 0.2802
Li: 0.8764 0.0000 0.0037
Os: 0.3750 0.0000 0.5098
Br: 0.3757 0.5000 0.7063

Summary:
Formation energy (no corrections)   0.31 eV/atom



no.,energy relative to the lowest polymorph listed for this composition (meV per atom)
1,664
2,0
3,0